(P)
Below is a relaxed structure of ZrCrPb2, with properties calculated at the PBE level.

Unit cell a=5.276 b=5.276 c=3.368 alpha=90.00 beta=90.00 gamma=90.00
Fractional positions:
Zr (0.000, 0.000, 0.000)
Cr (0.500, 0.500, 0.000)
Pb (0.000, 0.500, 0.500)
Pb (0.500, 0.000, 0.500)

Computed properties:
total magnetic moment: 4.41 μB per cell
calculated volume: 93.77 Å³ per cell
space group: P4/mmm, No. 123



(Q)
Below is a relaxed structure of ZrCrPb2, with properties calculated at the PBE level.

Unit cell a=5.886 b=5.886 c=5.886 alpha=137.50 beta=137.50 gamma=61.66
Fractional positions:
Zr (0.000, 0.000, 0.000)
Cr (0.250, 0.750, 0.500)
Pb (0.500, 0.500, 0.000)
Pb (0.750, 0.250, 0.500)

Computed properties:
total magnetic moment: 3.81 μB per cell
calculated volume: 92.01 Å³ per cell
space group: I-4m2, No. 119



(R)
Below is a relaxed structure of ZrCrPb2, with properties calculated at the PBE level.

Unit cell a=5.860 b=5.860 c=5.860 alpha=146.14 beta=123.24 gamma=67.75
Fractional positions:
Zr (0.000, 0.000, 0.000)
Cr (0.500, 0.500, 0.000)
Pb (0.267, 0.767, 0.500)
Pb (0.733, 0.233, 0.500)

Computed properties:
total magnetic moment: 2.76 μB per cell
calculated volume: 92.48 Å³ per cell
space group: Immm, No. 71



Which is the most stable structure? (Q) is the most stable.



(P)
Below is a relaxed structure of ZrCrPb2, with properties calculated at the PBE level.

Unit cell a=3.244 b=3.244 c=9.441 alpha=90.00 beta=90.00 gamma=90.00
Fractional positions:
Zr (0.000, 0.000, 0.000)
Cr (0.500, 0.500, 0.179)
Pb (0.000, 0.000, 0.390)
Pb (0.500, 0.500, 0.734)

Computed properties:
total magnetic moment: 2.53 μB per cell
calculated volume: 99.36 Å³ per cell
space group: P4mm, No. 99



(Q)
Below is a relaxed structure of ZrCrPb2, with properties calculated at the PBE level.

Unit cell a=3.305 b=3.305 c=8.455 alpha=90.00 beta=90.00 gamma=90.00
Fractional positions:
Zr (0.000, 0.000, 0.000)
Cr (0.000, 0.000, 0.500)
Pb (0.500, 0.500, 0.265)
Pb (0.500, 0.500, 0.735)

Computed properties:
total magnetic moment: 3.92 μB per cell
calculated volume: 92.36 Å³ per cell
space group: P4/mmm, No. 123



Which is the most stable structure? (P) is the most stable.



(P)
Below is a relaxed structure of ZrCrPb2, with properties calculated at the PBE level.

Unit cell a=4.204 b=4.373 c=4.986 alpha=90.00 beta=90.00 gamma=90.00
Fractional positions:
Zr (0.000, 0.000, 0.000)
Cr (0.000, 0.500, 0.500)
Pb (0.500, 0.000, 0.500)
Pb (0.500, 0.500, 0.000)

Computed properties:
total magnetic moment: 3.43 μB per cell
calculated volume: 91.66 Å³ per cell
space group: Pmmm, No. 47



(Q)
Below is a relaxed structure of ZrCrPb2, with properties calculated at the PBE level.

Unit cell a=3.315 b=4.160 c=6.674 alpha=90.00 beta=90.00 gamma=90.00
Fractional positions:
Zr (0.000, 0.000, 0.000)
Cr (0.000, 0.000, 0.500)
Pb (0.500, 0.500, 0.257)
Pb (0.500, 0.500, 0.743)

Computed properties:
total magnetic moment: 3.85 μB per cell
calculated volume: 92.04 Å³ per cell
space group: Pmmm, No. 47



(R)
Below is a relaxed structure of ZrCrPb2, with properties calculated at the PBE level.

Unit cell a=3.336 b=4.448 c=6.358 alpha=90.00 beta=99.96 gamma=90.00
Fractional positions:
Zr (0.000, 0.000, 0.000)
Cr (0.500, 0.000, 0.500)
Pb (0.320, 0.500, 0.743)
Pb (0.680, 0.500, 0.257)

Computed properties:
total magnetic moment: 3.21 μB per cell
calculated volume: 92.94 Å³ per cell
space group: P2/m, No. 10



(S)
Below is a relaxed structure of ZrCrPb2, with properties calculated at the PBE level.

Unit cell a=9.636 b=9.636 c=9.636 alpha=20.30 beta=20.30 gamma=20.30
Fractional positions:
Zr (0.000, 0.000, 0.000)
Cr (0.500, 0.500, 0.500)
Pb (0.245, 0.245, 0.245)
Pb (0.755, 0.755, 0.755)

Computed properties:
total magnetic moment: 3.87 μB per cell
calculated volume: 94.26 Å³ per cell
space group: R-3m, No. 166



Which is the most stable structure? (P) is the most stable.



(P)
Below is a relaxed structure of ZrCrPb2, with properties calculated at the PBE level.

Unit cell a=5.328 b=5.328 c=5.328 alpha=127.59 beta=127.59 gamma=77.30
Fractional positions:
Zr (0.000, 0.000, 0.000)
Cr (0.500, 0.500, 0.000)
Pb (0.250, 0.750, 0.500)
Pb (0.750, 0.250, 0.500)

Computed properties:
total magnetic moment: 2.67 μB per cell
calculated volume: 92.14 Å³ per cell
space group: I4/mmm, No. 139



(Q)
Below is a relaxed structure of ZrCrPb2, with properties calculated at the PBE level.

Unit cell a=5.119 b=5.119 c=5.119 alpha=60.00 beta=60.00 gamma=60.00
Fractional positions:
Zr (0.000, 0.000, 0.000)
Cr (0.250, 0.250, 0.250)
Pb (0.500, 0.500, 0.500)
Pb (0.750, 0.750, 0.750)

Computed properties:
total magnetic moment: 2.16 μB per cell
calculated volume: 94.86 Å³ per cell
space group: F-43m, No. 216



Which is the most stable structure? (P) is the most stable.



(P)
Below is a relaxed structure of ZrCrPb2, with properties calculated at the PBE level.

Unit cell a=3.366 b=3.366 c=8.397 alpha=90.00 beta=90.00 gamma=101.39
Fractional positions:
Zr (0.000, 0.000, 0.000)
Cr (0.000, 0.000, 0.500)
Pb (0.500, 0.500, 0.263)
Pb (0.500, 0.500, 0.737)

Computed properties:
total magnetic moment: 3.87 μB per cell
calculated volume: 93.24 Å³ per cell
space group: Cmmm, No. 65



(Q)
Below is a relaxed structure of ZrCrPb2, with properties calculated at the PBE level.

Unit cell a=6.374 b=6.374 c=6.374 alpha=103.74 beta=103.74 gamma=121.67
Fractional positions:
Zr (0.000, 0.000, 0.000)
Zr (0.750, 0.250, 0.500)
Cr (0.250, 0.750, 0.500)
Cr (0.500, 0.500, 0.000)
Pb (0.150, 0.625, 0.025)
Pb (0.375, 0.400, 0.525)
Pb (0.600, 0.125, 0.975)
Pb (0.875, 0.850, 0.475)

Computed properties:
total magnetic moment: 5.37 μB per cell
calculated volume: 192.48 Å³ per cell
space group: I-42d, No. 122



Which is the most stable structure? (P) is the most stable.



(P)
Below is a relaxed structure of ZrCrPb2, with properties calculated at the PBE level.

Unit cell a=5.933 b=5.933 c=5.278 alpha=108.35 beta=108.35 gamma=32.41
Fractional positions:
Zr (0.000, 0.000, 0.000)
Cr (0.260, 0.260, 0.602)
Pb (0.510, 0.510, 0.504)
Pb (0.747, 0.747, 0.086)

Computed properties:
total magnetic moment: 4.31 μB per cell
calculated volume: 94.08 Å³ per cell
space group: Cm, No. 8



(Q)
Below is a relaxed structure of ZrCrPb2, with properties calculated at the PBE level.

Unit cell a=5.352 b=5.352 c=3.315 alpha=90.09 beta=90.09 gamma=100.35
Fractional positions:
Zr (0.000, 0.000, 0.000)
Cr (0.500, 0.500, 0.000)
Pb (0.000, 0.500, 0.500)
Pb (0.500, 0.000, 0.500)

Computed properties:
total magnetic moment: 4.28 μB per cell
calculated volume: 93.39 Å³ per cell
space group: C2/m, No. 12



Which is the most stable structure? (P) is the most stable.



(P)
Below is a relaxed structure of Zr3CrPb, with properties calculated at the PBE level.

Unit cell a=4.880 b=4.880 c=4.880 alpha=90.00 beta=90.00 gamma=90.00
Fractional positions:
Zr (0.000, 0.000, 0.500)
Zr (0.000, 0.500, 0.000)
Zr (0.500, 0.000, 0.000)
Cr (0.000, 0.000, 0.000)
Pb (0.500, 0.500, 0.500)

Computed properties:
total magnetic moment: 0.65 μB per cell
calculated volume: 116.18 Å³ per cell
space group: Pm-3m, No. 221



(Q)
Below is a relaxed structure of Zr3CrPb, with properties calculated at the PBE level.

Unit cell a=5.322 b=5.322 c=5.322 alpha=90.00 beta=90.00 gamma=90.00
Fractional positions:
Zr (0.000, 0.000, 0.500)
Zr (0.000, 0.500, 0.000)
Zr (0.500, 0.000, 0.000)
Cr (0.500, 0.500, 0.500)
Pb (0.000, 0.000, 0.000)

Computed properties:
total magnetic moment: 0.09 μB per cell
calculated volume: 150.72 Å³ per cell
space group: Pm-3m, No. 221



Which is the most stable structure? (P) is the most stable.



(P)
Below is a relaxed structure of ZrCrPb3, with properties calculated at the PBE level.

Unit cell a=5.203 b=5.203 c=5.203 alpha=90.00 beta=90.00 gamma=90.00
Fractional positions:
Zr (0.000, 0.000, 0.000)
Cr (0.500, 0.500, 0.500)
Pb (0.000, 0.500, 0.500)
Pb (0.500, 0.000, 0.500)
Pb (0.500, 0.500, 0.000)

Computed properties:
total magnetic moment: 4.03 μB per cell
calculated volume: 140.87 Å³ per cell
space group: Pm-3m, No. 221



(Q)
Below is a relaxed structure of ZrCrPb3, with properties calculated at the PBE level.

Unit cell a=5.655 b=5.655 c=5.655 alpha=90.00 beta=90.00 gamma=90.00
Fractional positions:
Zr (0.000, 0.000, 0.000)
Cr (0.500, 0.500, 0.500)
Pb (0.000, 0.000, 0.500)
Pb (0.000, 0.500, 0.000)
Pb (0.500, 0.000, 0.000)

Computed properties:
total magnetic moment: 4.84 μB per cell
calculated volume: 180.87 Å³ per cell
space group: Pm-3m, No. 221



Which is the most stable structure? (P) is the most stable.



(P)
Below is a relaxed structure of CrPd2Pt2, with properties calculated at the PBE level.

Unit cell a=6.565 b=6.565 c=3.846 alpha=90.00 beta=90.00 gamma=90.00
Fractional positions:
Cr (0.000, 0.000, 0.000)
Cr (0.500, 0.500, 0.000)
Pd (0.158, 0.342, 0.500)
Pd (0.342, 0.842, 0.500)
Pd (0.658, 0.158, 0.500)
Pd (0.842, 0.658, 0.500)
Pt (0.143, 0.643, 0.000)
Pt (0.357, 0.143, 0.000)
Pt (0.643, 0.857, 0.000)
Pt (0.857, 0.357, 0.000)

Computed properties:
total magnetic moment: 6.46 μB per cell
calculated volume: 165.77 Å³ per cell
space group: P4/mbm, No. 127



(Q)
Below is a relaxed structure of CrPd2Pt2, with properties calculated at the PBE level.

Unit cell a=4.275 b=4.275 c=10.108 alpha=90.00 beta=90.00 gamma=120.00
Fractional positions:
Cr (0.000, 0.000, 0.250)
Cr (0.000, 0.000, 0.750)
Pd (0.333, 0.667, 0.110)
Pd (0.333, 0.667, 0.390)
Pd (0.667, 0.333, 0.610)
Pd (0.667, 0.333, 0.890)
Pt (0.000, 0.000, 0.000)
Pt (0.000, 0.000, 0.500)
Pt (0.333, 0.667, 0.750)
Pt (0.667, 0.333, 0.250)

Computed properties:
total magnetic moment: 4.46 μB per cell
calculated volume: 159.95 Å³ per cell
space group: P6_3/mmc, No. 194



Which is the most stable structure? (Q) is the most stable.



(P)
Below is a relaxed structure of Cr2Pd8Pt, with properties calculated at the PBE level.

Unit cell a=7.200 b=7.200 c=7.200 alpha=146.72 beta=122.21 gamma=68.34
Fractional positions:
Cr (0.194, 0.194, 0.000)
Cr (0.806, 0.806, 0.000)
Pd (0.062, 0.344, 0.718)
Pd (0.197, 0.000, 0.197)
Pd (0.345, 0.845, 0.500)
Pd (0.375, 0.656, 0.718)
Pd (0.625, 0.344, 0.282)
Pd (0.655, 0.155, 0.500)
Pd (0.803, 0.000, 0.803)
Pd (0.938, 0.656, 0.282)
Pt (0.500, 0.500, 0.000)

Computed properties:
total magnetic moment: 5.55 μB per cell
calculated volume: 170.94 Å³ per cell
space group: Immm, No. 71



(Q)
Below is a relaxed structure of Cr2Pd8Pt, with properties calculated at the PBE level.

Unit cell a=7.321 b=7.321 c=6.169 alpha=104.10 beta=104.10 gamma=30.37
Fractional positions:
Cr (0.231, 0.231, 0.112)
Cr (0.769, 0.769, 0.888)
Pd (0.049, 0.049, 0.229)
Pd (0.143, 0.143, 0.698)
Pd (0.316, 0.316, 0.589)
Pd (0.403, 0.403, 0.040)
Pd (0.597, 0.597, 0.960)
Pd (0.684, 0.684, 0.411)
Pd (0.857, 0.857, 0.302)
Pd (0.951, 0.951, 0.771)
Pt (0.500, 0.500, 0.500)

Computed properties:
total magnetic moment: 0.01 μB per cell
calculated volume: 161.76 Å³ per cell
space group: C2/m, No. 12



Which is the most stable structure? (Q) is the most stable.



(P)
Below is a relaxed structure of CrPdPt4, with properties calculated at the PBE level.

Unit cell a=2.784 b=3.892 c=8.381 alpha=90.00 beta=90.00 gamma=90.00
Fractional positions:
Cr (0.000, 0.000, 0.000)
Pd (0.500, 0.500, 0.500)
Pt (0.000, 0.000, 0.328)
Pt (0.000, 0.000, 0.672)
Pt (0.500, 0.500, 0.158)
Pt (0.500, 0.500, 0.842)

Computed properties:
total magnetic moment: 1.90 μB per cell
calculated volume: 90.82 Å³ per cell
space group: Pmmm, No. 47



(Q)
Below is a relaxed structure of CrPdPt4, with properties calculated at the PBE level.

Unit cell a=3.803 b=3.803 c=7.336 alpha=90.00 beta=90.00 gamma=90.00
Fractional positions:
Cr (0.000, 0.000, 0.000)
Pd (0.500, 0.500, 0.500)
Pt (0.000, 0.500, 0.234)
Pt (0.000, 0.500, 0.766)
Pt (0.500, 0.000, 0.234)
Pt (0.500, 0.000, 0.766)

Computed properties:
total magnetic moment: 1.97 μB per cell
calculated volume: 106.09 Å³ per cell
space group: P4/mmm, No. 123



Which is the most stable structure? (P) is the most stable.



(P)
Below is a relaxed structure of CrPd6Pt, with properties calculated at the PBE level.

Unit cell a=5.210 b=5.210 c=5.210 alpha=88.89 beta=88.89 gamma=88.89
Fractional positions:
Cr (0.000, 0.000, 0.000)
Pd (0.045, 0.673, 0.673)
Pd (0.327, 0.327, 0.955)
Pd (0.327, 0.955, 0.327)
Pd (0.673, 0.045, 0.673)
Pd (0.673, 0.673, 0.045)
Pd (0.955, 0.327, 0.327)
Pt (0.500, 0.500, 0.500)

Computed properties:
total magnetic moment: 2.29 μB per cell
calculated volume: 141.35 Å³ per cell
space group: R-3m, No. 166



(Q)
Below is a relaxed structure of CrPd6Pt, with properties calculated at the PBE level.

Unit cell a=5.560 b=5.560 c=3.933 alpha=90.00 beta=90.00 gamma=90.00
Fractional positions:
Cr (0.000, 0.000, 0.000)
Pd (0.000, 0.500, 0.000)
Pd (0.247, 0.247, 0.500)
Pd (0.247, 0.753, 0.500)
Pd (0.500, 0.000, 0.000)
Pd (0.753, 0.247, 0.500)
Pd (0.753, 0.753, 0.500)
Pt (0.500, 0.500, 0.000)

Computed properties:
total magnetic moment: 2.04 μB per cell
calculated volume: 121.60 Å³ per cell
space group: P4/mmm, No. 123



Which is the most stable structure? (Q) is the most stable.